No. 1
DFT (PBE) results for crystalline CrGe3W at its relaxed geometry.

Cell lengths 4.6354, 4.6354, 4.6354 Å; angles 90.00, 90.00, 90.00 degrees
Fractional positions:
Cr (0.0000, 0.0000, 0.0000)
Ge (0.0000, 0.0000, 0.5000)
Ge (0.0000, 0.5000, 0.0000)
Ge (0.5000, 0.0000, 0.0000)
W (0.5000, 0.5000, 0.5000)

The calculated volume is 19.920 A^3/atom. The total magnetization is 5.55 μB per formula unit.

=====

No. 2
DFT (PBE) results for crystalline Cr2GeW2 at its relaxed geometry.

Cell lengths 7.1084, 7.1084, 2.9549 Å; angles 90.00, 90.00, 90.00 degrees
Fractional positions:
Cr (0.1375, 0.3625, 0.0000)
Cr (0.3625, 0.8625, 0.0000)
Cr (0.6375, 0.1375, 0.0000)
Cr (0.8625, 0.6375, 0.0000)
Ge (0.0000, 0.0000, 0.0000)
Ge (0.5000, 0.5000, 0.0000)
W (0.1580, 0.6580, 0.5000)
W (0.3420, 0.1580, 0.5000)
W (0.6580, 0.8420, 0.5000)
W (0.8420, 0.3420, 0.5000)

The calculated volume is 14.931 A^3/atom. Its energy above the most stable polymorph in this dataset is 0.00 eV/f.u. The total magnetization is 0.51 μB per formula unit.

=====

No. 3
DFT (PBE) results for crystalline CrGeW3 at its relaxed geometry.

Cell lengths 4.5140, 4.5140, 4.5140 Å; angles 90.00, 90.00, 90.00 degrees
Fractional positions:
Cr (0.0000, 0.0000, 0.0000)
Ge (0.5000, 0.5000, 0.5000)
W (0.0000, 0.0000, 0.5000)
W (0.0000, 0.5000, 0.0000)
W (0.5000, 0.0000, 0.0000)

The calculated volume is 18.396 A^3/atom. Its energy above the most stable polymorph in this dataset is 0.00 eV/f.u. The total magnetization is 0.00 μB per formula unit.

=====

No. 4
DFT (PBE) results for crystalline Cr4GeW at its relaxed geometry.

Cell lengths 4.7843, 4.7843, 4.7843 Å; angles 60.00, 60.00, 60.00 degrees
Fractional positions:
Cr (0.1244, 0.1244, 0.1244)
Cr (0.1244, 0.1244, 0.6267)
Cr (0.1244, 0.6267, 0.1244)
Cr (0.6267, 0.1244, 0.1244)
Ge (0.7500, 0.7500, 0.7500)
W (0.5000, 0.5000, 0.5000)

The calculated volume is 12.906 A^3/atom. The total magnetization is 0.00 μB per formula unit.

=====

No. 5
DFT (PBE) results for crystalline CrGe2W4 at its relaxed geometry.

Cell lengths 7.2623, 7.2623, 7.2623 Å; angles 144.49, 144.49, 51.09 degrees
Fractional positions:
Cr (0.0000, 0.0000, 0.0000)
Ge (0.3668, 0.3668, 0.0000)
Ge (0.6332, 0.6332, 0.0000)
W (0.0000, 0.5000, 0.5000)
W (0.1752, 0.1752, 0.0000)
W (0.5000, 0.0000, 0.5000)
W (0.8248, 0.8248, 0.0000)

The calculated volume is 18.361 A^3/atom. The total magnetization is 0.00 μB per formula unit.

=====

No. 6
DFT (PBE) results for crystalline Y2CrGe at its relaxed geometry.

Cell lengths 6.4762, 6.4762, 6.4762 Å; angles 105.31, 105.31, 118.17 degrees
Fractional positions:
Y (0.1119, 0.6250, 0.9869)
Y (0.3750, 0.3619, 0.4869)
Y (0.6381, 0.1250, 0.0131)
Y (0.8750, 0.8881, 0.5131)
Cr (0.2500, 0.7500, 0.5000)
Cr (0.5000, 0.5000, 0.0000)
Ge (0.0000, 0.0000, 0.0000)
Ge (0.7500, 0.2500, 0.5000)

The calculated volume is 25.679 A^3/atom. Its energy above the most stable polymorph in this dataset is 1.44 eV/f.u. The total magnetization is 4.00 μB per formula unit.

=====

No. 7
DFT (PBE) results for crystalline Y2CrGe2 at its relaxed geometry.

Cell lengths 8.9528, 8.9528, 8.9528 Å; angles 155.95, 155.95, 34.28 degrees
Fractional positions:
Y (0.1059, 0.1059, 0.0000)
Y (0.8941, 0.8941, 0.0000)
Cr (0.5000, 0.5000, 0.0000)
Ge (0.2500, 0.7500, 0.5000)
Ge (0.7500, 0.2500, 0.5000)

The calculated volume is 23.819 A^3/atom. The total magnetization is 3.75 μB per formula unit.

=====

No. 8
DFT (PBE) results for crystalline YCr6Ge6 at its relaxed geometry.

Cell lengths 5.1069, 5.1069, 8.3066 Å; angles 90.00, 90.00, 120.00 degrees
Fractional positions:
Y (0.0000, 0.0000, 0.0000)
Cr (0.0000, 0.5000, 0.2504)
Cr (0.0000, 0.5000, 0.7496)
Cr (0.5000, 0.0000, 0.2504)
Cr (0.5000, 0.0000, 0.7496)
Cr (0.5000, 0.5000, 0.2504)
Cr (0.5000, 0.5000, 0.7496)
Ge (0.0000, 0.0000, 0.3463)
Ge (0.0000, 0.0000, 0.6537)
Ge (0.3333, 0.6667, 0.0000)
Ge (0.3333, 0.6667, 0.5000)
Ge (0.6667, 0.3333, 0.0000)
Ge (0.6667, 0.3333, 0.5000)

The calculated volume is 14.432 A^3/atom. The total magnetization is 0.00 μB per formula unit.

=====

| no. | ΔH_f (0 K) (meV per atom) |
| --- | --- |
| 1 | 1180 |
| 2 | 596 |
| 3 | 1567 |
| 4 | 132 |
| 5 | 1346 |
| 6 | 223 |
| 7 | 55 |
| 8 | -206 |